(a)
DFT (GGA-PBE) results for a relaxed structure of InCuCl2.

Lattice parameters (Å, degrees): 4.234 6.299 8.905 90.00 90.00 90.00
Space group Cmm2 (No. 35)
Asymmetric unit:
1 In 0.000 0.000 0.000 (multiplicity 2)
2 Cu 0.000 0.500 0.616 (multiplicity 2)
3 Cl 0.000 0.000 0.570 (multiplicity 2)
4 Cl 0.000 0.500 0.192 (multiplicity 2)

total magnetic moment: 0.00 μB/atom


(b)
DFT (GGA-PBE) results for a relaxed structure of InCuCl2.

Lattice parameters (Å, degrees): 7.046 7.046 7.046 90.00 90.00 90.00
Space group F-43m (No. 216)
Asymmetric unit:
1 In 0.000 0.000 0.000 (multiplicity 4)
2 Cu 0.250 0.250 0.250 (multiplicity 4)
3 Cl 0.000 0.000 0.500 (multiplicity 4)
4 Cl 0.250 0.250 0.750 (multiplicity 4)

total magnetic moment: 0.00 μB/atom


Order from most stable to least stable according to the calculation: (a), (b)


(a)
DFT (GGA-PBE) results for a relaxed structure of InCuCl2.

Lattice parameters (Å, degrees): 4.074 3.533 7.146 90.00 93.63 90.00
Space group P2/m (No. 10)
Asymmetric unit:
1 In 0.000 0.000 0.000 (multiplicity 1)
2 Cu 0.500 0.000 0.500 (multiplicity 1)
3 Cl 0.464 0.500 0.726 (multiplicity 2)

total magnetic moment: 0.00 μB/atom


(b)
DFT (GGA-PBE) results for a relaxed structure of InCuCl2.

Lattice parameters (Å, degrees): 3.519 6.699 8.319 90.00 90.00 90.00
Space group Cmmm (No. 65)
Asymmetric unit:
1 In 0.000 0.000 0.000 (multiplicity 2)
2 Cu 0.000 0.000 0.500 (multiplicity 2)
3 Cl 0.000 0.500 0.308 (multiplicity 4)

total magnetic moment: 0.04 μB/atom


(c)
DFT (GGA-PBE) results for a relaxed structure of InCuCl2.

Lattice parameters (Å, degrees): 3.552 6.167 8.752 90.00 90.00 90.00
Space group Immm (No. 71)
Asymmetric unit:
1 In 0.000 0.000 0.000 (multiplicity 2)
2 Cu 0.000 0.000 0.500 (multiplicity 2)
3 Cl 0.000 0.500 0.183 (multiplicity 4)

total magnetic moment: 0.00 μB/atom


Order from most stable to least stable according to the calculation: (a), (c), (b)


(a)
DFT (GGA-PBE) results for a relaxed structure of InCuCl2.

Lattice parameters (Å, degrees): 8.662 3.540 7.549 90.00 115.67 90.00
Space group C2/m (No. 12)
Asymmetric unit:
1 In 0.000 0.000 0.000 (multiplicity 2)
2 Cu 0.000 0.500 0.500 (multiplicity 2)
3 Cl 0.173 0.000 0.706 (multiplicity 4)

total magnetic moment: 0.00 μB/atom


(b)
DFT (GGA-PBE) results for a relaxed structure of InCuCl2.

Lattice parameters (Å, degrees): 3.7063 3.7063 22.6930 90.00 90.00 120.00
Space group R-3m (No. 166, hexagonal axes)
Asymmetric unit:
1 In 0.0000 0.0000 0.0000 (multiplicity 3)
2 Cu 0.0000 0.0000 0.5000 (multiplicity 3)
3 Cl 0.0000 0.0000 0.2274 (multiplicity 6)

total magnetic moment: 0.02 μB/atom


(c)
DFT (GGA-PBE) results for a relaxed structure of InCuCl2.

Lattice parameters (Å, degrees): 3.370 3.370 7.515 90.00 90.00 90.00
Space group P4/mmm (No. 123)
Asymmetric unit:
1 In 0.000 0.000 0.000 (multiplicity 1)
2 Cu 0.000 0.000 0.500 (multiplicity 1)
3 Cl 0.500 0.500 0.293 (multiplicity 2)

total magnetic moment: 0.02 μB/atom


Order from most stable to least stable according to the calculation: (a), (b), (c)


(a)
DFT (GGA-PBE) results for a relaxed structure of InCuCl2.

Lattice parameters (Å, degrees): 3.985 3.985 12.662 90.00 90.00 90.00
Space group I-4m2 (No. 119)
Asymmetric unit:
1 In 0.000 0.000 0.000 (multiplicity 2)
2 Cu 0.000 0.500 0.250 (multiplicity 2)
3 Cl 0.000 0.000 0.500 (multiplicity 2)
4 Cl 0.000 0.500 0.750 (multiplicity 2)

total magnetic moment: 0.00 μB/atom


(b)
DFT (GGA-PBE) results for a relaxed structure of InCuCl2.

Lattice parameters (Å, degrees): 4.901 3.903 6.319 90.00 112.65 90.00
Space group Pm (No. 6)
Asymmetric unit:
1 In 0.000 0.000 0.000 (multiplicity 1)
2 Cu 0.644 0.500 0.286 (multiplicity 1)
3 Cl 0.451 0.500 0.903 (multiplicity 1)
4 Cl 0.743 0.000 0.484 (multiplicity 1)

total magnetic moment: 0.00 μB/atom


Order from most stable to least stable according to the calculation: (b), (a)


(a)
DFT (GGA-PBE) results for a relaxed structure of InCuCl2.

Lattice parameters (Å, degrees): 3.866 4.125 6.315 90.00 90.00 90.00
Space group Pmmm (No. 47)
Asymmetric unit:
1 In 0.000 0.000 0.000 (multiplicity 1)
2 Cu 0.000 0.500 0.500 (multiplicity 1)
3 Cl 0.500 0.000 0.500 (multiplicity 1)
4 Cl 0.500 0.500 0.000 (multiplicity 1)

total magnetic moment: 0.00 μB/atom


(b)
DFT (GGA-PBE) results for a relaxed structure of InCuCl2.

Lattice parameters (Å, degrees): 3.509 6.770 8.789 90.00 90.00 90.00
Space group Imm2 (No. 44)
Asymmetric unit:
1 In 0.000 0.000 0.000 (multiplicity 2)
2 Cu 0.000 0.500 0.737 (multiplicity 2)
3 Cl 0.000 0.000 0.407 (multiplicity 2)
4 Cl 0.000 0.500 0.273 (multiplicity 2)

total magnetic moment: 0.00 μB/atom


(c)
DFT (GGA-PBE) results for a relaxed structure of InCuCl2.

Lattice parameters (Å, degrees): 3.521 3.521 7.976 90.00 90.00 90.00
Space group P4mm (No. 99)
Asymmetric unit:
1 In 0.000 0.000 0.000 (multiplicity 1)
2 Cu 0.500 0.500 0.509 (multiplicity 1)
3 Cl 0.000 0.000 0.578 (multiplicity 1)
4 Cl 0.500 0.500 0.217 (multiplicity 1)

total magnetic moment: 0.00 μB/atom


Order from most stable to least stable according to the calculation: (c), (b), (a)


(a)
DFT (GGA-PBE) results for a relaxed structure of InCu3Cl.

Lattice parameters (Å, degrees): 4.947 4.947 4.947 90.00 90.00 90.00
Space group Pm-3m (No. 221)
Asymmetric unit:
1 In 0.000 0.000 0.000 (multiplicity 1)
2 Cu 0.000 0.000 0.500 (multiplicity 3)
3 Cl 0.500 0.500 0.500 (multiplicity 1)

total magnetic moment: 0.00 μB/atom


(b)
DFT (GGA-PBE) results for a relaxed structure of InCu3Cl.

Lattice parameters (Å, degrees): 4.577 4.577 4.577 90.00 90.00 90.00
Space group Pm-3m (No. 221)
Asymmetric unit:
1 In 0.000 0.000 0.000 (multiplicity 1)
2 Cu 0.000 0.500 0.500 (multiplicity 3)
3 Cl 0.500 0.500 0.500 (multiplicity 1)

total magnetic moment: 0.00 μB/atom


Order from most stable to least stable according to the calculation: (b), (a)